Record 1
Material: CeBeBPt6
Method: DFT, PBE-GGA
State: optimized geometry

Theoretical density   14.295 g/cm3
Space-group type   Imma
E_tot   -6.3809 eV/atom

Unit cell a=7.628 b=7.628 c=7.628 alpha=124.97 beta=116.02 gamma=89.32
Fractional coordinates of all 18 atoms:
Ce (0.397, 0.147, 0.250)
Ce (0.603, 0.853, 0.750)
Be (0.000, 0.000, 0.500)
Be (0.000, 0.500, 0.000)
B (0.000, 0.500, 0.500)
B (0.500, 0.500, 0.000)
Pt (0.107, 0.398, 0.253)
Pt (0.107, 0.854, 0.709)
Pt (0.133, 0.883, 0.250)
Pt (0.321, 0.571, 0.750)
Pt (0.355, 0.146, 0.753)
Pt (0.355, 0.602, 0.209)
Pt (0.645, 0.398, 0.791)
Pt (0.645, 0.854, 0.247)
Pt (0.679, 0.429, 0.250)
Pt (0.867, 0.117, 0.750)
Pt (0.893, 0.146, 0.291)
Pt (0.893, 0.602, 0.747)


Record 2
Material: Ce2BeBRh6
Method: DFT, PBE-GGA
State: optimized geometry

Theoretical density   9.902 g/cm3
Space-group type   P4/mmm
E_tot   -7.3514 eV/atom

Unit cell a=4.254 b=4.254 c=8.502 alpha=90.00 beta=90.00 gamma=90.00
Fractional coordinates of all 10 atoms:
Ce (0.000, 0.000, 0.245)
Ce (0.000, 0.000, 0.755)
Be (0.500, 0.500, 0.000)
B (0.500, 0.500, 0.500)
Rh (0.000, 0.500, 0.000)
Rh (0.000, 0.500, 0.500)
Rh (0.500, 0.000, 0.000)
Rh (0.500, 0.000, 0.500)
Rh (0.500, 0.500, 0.258)
Rh (0.500, 0.500, 0.742)


Record 3
Material: Ce2BeB2Ru5
Method: DFT, PBE-GGA
State: optimized geometry

Theoretical density   9.684 g/cm3
Space-group type   P4/mbm
E_tot   -7.9338 eV/atom

Unit cell a=9.476 b=9.476 c=3.117 alpha=90.00 beta=90.00 gamma=90.00
Fractional coordinates of all 20 atoms:
Ce (0.177, 0.323, 0.000)
Ce (0.323, 0.823, 0.000)
Ce (0.677, 0.177, 0.000)
Ce (0.823, 0.677, 0.000)
Be (0.000, 0.000, 0.000)
Be (0.500, 0.500, 0.000)
B (0.125, 0.625, 0.000)
B (0.375, 0.125, 0.000)
B (0.625, 0.875, 0.000)
B (0.875, 0.375, 0.000)
Ru (0.000, 0.500, 0.500)
Ru (0.071, 0.788, 0.500)
Ru (0.212, 0.071, 0.500)
Ru (0.288, 0.571, 0.500)
Ru (0.429, 0.288, 0.500)
Ru (0.500, 0.000, 0.500)
Ru (0.571, 0.712, 0.500)
Ru (0.712, 0.429, 0.500)
Ru (0.788, 0.929, 0.500)
Ru (0.929, 0.212, 0.500)


Record 4
Material: BeBCl
Method: DFT, PBE-GGA
State: optimized geometry

Theoretical density   2.256 g/cm3
Space-group type   C2/m
Energy relative to the elements, uncorrected   -0.391 eV per atom

Unit cell a=3.089 b=3.089 c=9.966 alpha=97.75 beta=97.75 gamma=60.01
Fractional coordinates of all 6 atoms:
Be (0.216, 0.216, 0.173)
Be (0.784, 0.784, 0.827)
B (0.162, 0.162, 0.987)
B (0.838, 0.838, 0.013)
Cl (0.415, 0.415, 0.706)
Cl (0.585, 0.585, 0.294)


Record 5
Material: BeB2Cl
Method: DFT, PBE-GGA
State: optimized geometry

Theoretical density   2.396 g/cm3
Space-group type   Fm-3m
Energy relative to the elements, uncorrected   2.144 eV per atom
Distance to the lowest polymorph of the same formula   86.53 kJ per mole of atoms

Unit cell a=4.016 b=4.016 c=4.016 alpha=60.00 beta=60.00 gamma=60.00
Fractional coordinates of all 4 atoms:
Be (0.000, 0.000, 0.000)
B (0.250, 0.250, 0.250)
B (0.750, 0.750, 0.750)
Cl (0.500, 0.500, 0.500)


Record 6
Material: BeB2Cl8
Method: DFT, PBE-GGA
State: optimized geometry

Theoretical density   1.682 g/cm3
Space-group type   C2/m
Energy relative to the elements, uncorrected   -0.954 eV per atom

Unit cell a=7.339 b=7.339 c=5.809 alpha=92.60 beta=92.60 gamma=83.55
Fractional coordinates of all 11 atoms:
Be (0.000, 0.000, 0.000)
B (0.206, 0.206, 0.323)
B (0.794, 0.794, 0.677)
Cl (0.040, 0.743, 0.817)
Cl (0.199, 0.199, 0.633)
Cl (0.257, 0.960, 0.183)
Cl (0.358, 0.358, 0.226)
Cl (0.642, 0.642, 0.774)
Cl (0.743, 0.040, 0.817)
Cl (0.801, 0.801, 0.367)
Cl (0.960, 0.257, 0.183)


Record 7
Material: BeB3Cl
Method: DFT, PBE-GGA
State: optimized geometry

Theoretical density   2.171 g/cm3
Space-group type   Pm-3m
Energy relative to the elements, uncorrected   1.703 eV per atom
Distance to the lowest polymorph of the same formula   0.00 kJ per mole of atoms

Unit cell a=3.889 b=3.889 c=3.889 alpha=90.00 beta=90.00 gamma=90.00
Fractional coordinates of all 5 atoms:
Be (0.000, 0.000, 0.000)
B (0.000, 0.000, 0.500)
B (0.000, 0.500, 0.000)
B (0.500, 0.000, 0.000)
Cl (0.500, 0.500, 0.500)


Record 8
Material: BeB2Cl
Method: DFT, PBE-GGA
State: optimized geometry

Theoretical density   2.179 g/cm3
Space-group type   I-42d
Energy relative to the elements, uncorrected   1.247 eV per atom
Distance to the lowest polymorph of the same formula   0.00 kJ per mole of atoms

Unit cell a=5.681 b=5.681 c=5.681 alpha=131.49 beta=131.49 gamma=71.04
Fractional coordinates of all 8 atoms:
Be (0.000, 0.000, 0.000)
Be (0.750, 0.250, 0.500)
B (0.076, 0.625, 0.951)
B (0.375, 0.326, 0.451)
B (0.674, 0.125, 0.049)
B (0.875, 0.924, 0.549)
Cl (0.250, 0.750, 0.500)
Cl (0.500, 0.500, 0.000)


Record 9
Material: HfBeBCl2
Method: DFT, PBE-GGA
State: optimized geometry

Theoretical density   3.880 g/cm3
Space-group type   P4/mmm
Energy relative to the elements, uncorrected   0.546 eV per atom

Unit cell a=4.935 b=4.935 c=4.731 alpha=90.00 beta=90.00 gamma=90.00
Fractional coordinates of all 5 atoms:
Hf (0.000, 0.000, 0.000)
Be (0.500, 0.500, 0.500)
B (0.000, 0.000, 0.500)
Cl (0.000, 0.500, 0.000)
Cl (0.500, 0.000, 0.000)


Record 10
Material: BeBICl2
Method: DFT, PBE-GGA
State: optimized geometry

Theoretical density   2.116 g/cm3
Space-group type   P4/mmm
Energy relative to the elements, uncorrected   0.345 eV per atom

Unit cell a=4.184 b=4.184 c=9.753 alpha=90.00 beta=90.00 gamma=90.00
Fractional coordinates of all 5 atoms:
Be (0.000, 0.000, 0.000)
B (0.000, 0.000, 0.500)
I (0.500, 0.500, 0.500)
Cl (0.000, 0.500, 0.000)
Cl (0.500, 0.000, 0.000)


Record 11
Material: BeBN2Cl
Method: DFT, PBE-GGA
State: optimized geometry

Theoretical density   2.461 g/cm3
Space-group type   P4/mmm
Energy relative to the elements, uncorrected   0.847 eV per atom

Unit cell a=3.082 b=3.082 c=5.915 alpha=90.00 beta=90.00 gamma=90.00
Fractional coordinates of all 5 atoms:
Be (0.000, 0.000, 0.000)
B (0.500, 0.500, 0.500)
N (0.000, 0.500, 0.500)
N (0.500, 0.000, 0.500)
Cl (0.500, 0.500, 0.000)


Record 12
Material: BeBPCl2
Method: DFT, PBE-GGA
State: optimized geometry

Theoretical density   2.564 g/cm3
Space-group type   P4/mmm
Energy relative to the elements, uncorrected   0.918 eV per atom
Distance to the lowest polymorph of the same formula   1.85 kJ per mole of atoms

Unit cell a=4.186 b=4.186 c=4.498 alpha=90.00 beta=90.00 gamma=90.00
Fractional coordinates of all 5 atoms:
Be (0.000, 0.000, 0.000)
B (0.500, 0.500, 0.500)
P (0.500, 0.500, 0.000)
Cl (0.000, 0.500, 0.500)
Cl (0.500, 0.000, 0.500)


Record 13
Material: BeBPCl2
Method: DFT, PBE-GGA
State: optimized geometry

Theoretical density   2.328 g/cm3
Space-group type   P4/mmm
Energy relative to the elements, uncorrected   0.899 eV per atom
Distance to the lowest polymorph of the same formula   0.00 kJ per mole of atoms

Unit cell a=4.322 b=4.322 c=4.647 alpha=90.00 beta=90.00 gamma=90.00
Fractional coordinates of all 5 atoms:
Be (0.000, 0.000, 0.000)
B (0.500, 0.500, 0.500)
P (0.000, 0.000, 0.500)
Cl (0.000, 0.500, 0.000)
Cl (0.500, 0.000, 0.000)


Record 14
Material: Be2BRhCl
Method: DFT, PBE-GGA
State: optimized geometry

Theoretical density   4.546 g/cm3
Space-group type   P4/mmm
Energy relative to the elements, uncorrected   1.387 eV per atom

Unit cell a=3.902 b=3.902 c=4.011 alpha=90.00 beta=90.00 gamma=90.00
Fractional coordinates of all 5 atoms:
Be (0.000, 0.500, 0.000)
Be (0.500, 0.000, 0.000)
B (0.000, 0.000, 0.500)
Rh (0.500, 0.500, 0.500)
Cl (0.000, 0.000, 0.000)


Record 15
Material: Be2Co3B2
Method: DFT, PBE-GGA
State: optimized geometry

Theoretical density   6.082 g/cm3
Space-group type   C2/m
E_tot   -6.3120 eV/atom

Unit cell a=3.664 b=3.664 c=5.471 alpha=102.60 beta=102.60 gamma=56.14
Fractional coordinates of all 7 atoms:
Be (0.141, 0.141, 0.359)
Be (0.859, 0.859, 0.641)
Co (0.225, 0.225, 0.812)
Co (0.500, 0.500, 0.500)
Co (0.775, 0.775, 0.188)
B (0.447, 0.447, 0.134)
B (0.553, 0.553, 0.866)


Record 16
Material: BeCo6B2
Method: DFT, PBE-GGA
State: optimized geometry

Theoretical density   7.871 g/cm3
Space-group type   Immm
E_tot   -6.8788 eV/atom

Unit cell a=5.964 b=5.964 c=5.964 alpha=112.41 beta=112.36 gamma=103.80
Fractional coordinates of all 18 atoms:
Be (0.000, 0.000, 0.000)
Be (0.500, 0.500, 0.000)
Co (0.052, 0.245, 0.808)
Co (0.190, 0.285, 0.475)
Co (0.190, 0.715, 0.904)
Co (0.323, 0.023, 0.700)
Co (0.323, 0.622, 0.300)
Co (0.437, 0.245, 0.192)
Co (0.563, 0.755, 0.808)
Co (0.677, 0.378, 0.700)
Co (0.677, 0.977, 0.300)
Co (0.810, 0.285, 0.096)
Co (0.810, 0.715, 0.525)
Co (0.948, 0.755, 0.192)
B (0.121, 0.621, 0.500)
B (0.335, 0.000, 0.335)
B (0.665, 0.000, 0.665)
B (0.879, 0.379, 0.500)


Record 17
Material: Be3CoB
Method: DFT, PBE-GGA
State: optimized geometry

Theoretical density   2.787 g/cm3
Space-group type   Pm-3m
Distance to the lowest polymorph of the same formula   127.41 kJ per mole of atoms

Unit cell a=3.863 b=3.863 c=3.863 alpha=90.00 beta=90.00 gamma=90.00
Fractional coordinates of all 5 atoms:
Be (0.000, 0.000, 0.500)
Be (0.000, 0.500, 0.000)
Be (0.500, 0.000, 0.000)
Co (0.000, 0.000, 0.000)
B (0.500, 0.500, 0.500)


Record 18
Material: Be3Co4B
Method: DFT, PBE-GGA
State: optimized geometry

Theoretical density   6.756 g/cm3
Space-group type   P4/mmm
E_tot   -6.0989 eV/atom

Unit cell a=2.550 b=2.550 c=10.338 alpha=90.00 beta=90.00 gamma=90.00
Fractional coordinates of all 8 atoms:
Be (0.000, 0.000, 0.000)
Be (0.000, 0.000, 0.255)
Be (0.000, 0.000, 0.745)
Co (0.500, 0.500, 0.127)
Co (0.500, 0.500, 0.386)
Co (0.500, 0.500, 0.614)
Co (0.500, 0.500, 0.873)
B (0.000, 0.000, 0.500)


Record 19
Material: BeCoB3
Method: DFT, PBE-GGA
State: optimized geometry

Theoretical density   3.263 g/cm3
Space-group type   Pm-3m
Distance to the lowest polymorph of the same formula   0.00 kJ per mole of atoms

Unit cell a=3.711 b=3.711 c=3.711 alpha=90.00 beta=90.00 gamma=90.00
Fractional coordinates of all 5 atoms:
Be (0.000, 0.000, 0.000)
Co (0.500, 0.500, 0.500)
B (0.000, 0.500, 0.500)
B (0.500, 0.000, 0.500)
B (0.500, 0.500, 0.000)


Record 20
Material: Be3Co6B
Method: DFT, PBE-GGA
State: optimized geometry

Theoretical density   7.208 g/cm3
Space-group type   P2_1/m
E_tot   -6.2216 eV/atom

Unit cell a=6.399 b=3.734 c=7.861 alpha=90.00 beta=106.23 gamma=90.00
Fractional coordinates of all 20 atoms:
Be (0.042, 0.250, 0.395)
Be (0.135, 0.750, 0.205)
Be (0.256, 0.250, 0.991)
Be (0.744, 0.750, 0.009)
Be (0.865, 0.250, 0.795)
Be (0.958, 0.750, 0.605)
Co (0.042, 0.750, 0.904)
Co (0.152, 0.250, 0.685)
Co (0.266, 0.750, 0.498)
Co (0.352, 0.750, 0.813)
Co (0.355, 0.250, 0.317)
Co (0.436, 0.750, 0.122)
Co (0.564, 0.250, 0.878)
Co (0.645, 0.750, 0.683)
Co (0.648, 0.250, 0.187)
Co (0.734, 0.250, 0.502)
Co (0.848, 0.750, 0.315)
Co (0.958, 0.250, 0.096)
B (0.441, 0.250, 0.599)
B (0.559, 0.750, 0.401)


Record 21
Material: Be4CoB
Method: DFT, PBE-GGA
State: optimized geometry

Theoretical density   3.930 g/cm3
Space-group type   F-43m
E_tot   -4.7367 eV/atom

Unit cell a=3.984 b=3.984 c=3.984 alpha=60.00 beta=60.00 gamma=60.00
Fractional coordinates of all 6 atoms:
Be (0.125, 0.125, 0.125)
Be (0.125, 0.125, 0.625)
Be (0.125, 0.625, 0.125)
Be (0.625, 0.125, 0.125)
Co (0.500, 0.500, 0.500)
B (0.750, 0.750, 0.750)


Record 22
Material: Be2Co4B
Method: DFT, PBE-GGA
State: optimized geometry

Theoretical density   6.893 g/cm3
Space-group type   R-3m
E_tot   -6.1079 eV/atom

Unit cell a=6.179 b=6.179 c=6.179 alpha=33.42 beta=33.42 gamma=33.42
Fractional coordinates of all 7 atoms:
Be (0.248, 0.248, 0.248)
Be (0.752, 0.752, 0.752)
Co (0.125, 0.125, 0.125)
Co (0.372, 0.372, 0.372)
Co (0.628, 0.628, 0.628)
Co (0.875, 0.875, 0.875)
B (0.500, 0.500, 0.500)


Record 23
Material: Be6Co2B
Method: DFT, PBE-GGA
State: optimized geometry

Theoretical density   4.085 g/cm3
Space-group type   C2/m
E_tot   -4.9079 eV/atom

Unit cell a=6.058 b=6.058 c=2.515 alpha=95.50 beta=95.50 gamma=124.66
Fractional coordinates of all 9 atoms:
Be (0.007, 0.668, 0.677)
Be (0.171, 0.171, 0.828)
Be (0.332, 0.993, 0.323)
Be (0.668, 0.007, 0.677)
Be (0.829, 0.829, 0.172)
Be (0.993, 0.332, 0.323)
Co (0.358, 0.642, 0.000)
Co (0.642, 0.358, 0.000)
B (0.500, 0.500, 0.500)


Record 24
Material: Be3CoB
Method: DFT, PBE-GGA
State: optimized geometry

Theoretical density   3.645 g/cm3
Space-group type   Pm-3m
Distance to the lowest polymorph of the same formula   35.43 kJ per mole of atoms

Unit cell a=3.533 b=3.533 c=3.533 alpha=90.00 beta=90.00 gamma=90.00
Fractional coordinates of all 5 atoms:
Be (0.000, 0.000, 0.500)
Be (0.000, 0.500, 0.000)
Be (0.500, 0.000, 0.000)
Co (0.500, 0.500, 0.500)
B (0.000, 0.000, 0.000)